# Th2Ge4PdAu3

A relaxed structure of Th2Ge4PdAu3 (GGA-PBE, the Alexandria database).

Summary:
- Theoretical density: 11.7 g/cm3
- E_form: -5.429 eV per formula unit

a b c (Å): 4.3881 4.3881 10.7054
angles (deg): 90.00 90.00 90.00
Last column: nearest neighbours and their distance in Å.
Space group P-4m2 (No. 115)
Inequivalent atoms, fractional coordinates:
1 Th 0.0000 0.5000 0.2387 x2  8 Ge 3.32-3.55, 6 Au 3.37, 2 Pd 3.37
2 Ge 0.0000 0.0000 0.5000 x1  4 Au 2.65
3 Ge 0.0000 0.5000 0.8724 x2  3 Au 2.50-2.58, 2 Pd 2.58
4 Ge 0.5000 0.5000 0.5000 x1  4 Au 2.65
5 Pd 0.5000 0.5000 0.0000 x1  4 Ge 2.58
6 Au 0.0000 0.0000 0.0000 x1  4 Ge 2.58
7 Au 0.0000 0.5000 0.6391 x2  5 Ge 2.50-2.65